The following is a DFT calculation (PBE) of a relaxed structure of TmThScCd.

Cell and atoms, written as POSCAR:
```
TmThScCd
1.0
3.5319 0.0000 0.0000
0.0000 3.5319 0.0000
0.0000 0.0000 8.5205
Sc Th Tm Cd
1 1 1 1
direct
0.5000 0.5000 0.3459 Sc
0.0000 0.0000 0.0824 Th
0.5000 0.5000 0.7986 Tm
0.0000 0.0000 0.5578 Cd
```

Values from the calculation:
E_form = -15.2 kJ/mol of atoms
excess energy over the best structure of this formula in the dataset = 0.0 meV/atom
space group = No. 99
density of states at the Fermi level = 4.82 states/eV per cell